Entry 1:
First-principles (PBE-GGA) data for a relaxed KErAg2F6 crystal, as listed in the Alexandria database.

a b c (Å): 6.247 6.242 6.481
angles (deg): 61.13 61.11 59.94
Sites, in units of the cell vectors:
K1 0.811 0.811 0.567
Er1 0.318 0.318 0.046
Ag1 0.533 0.533 0.400
Ag2 0.029 0.031 0.910
F1 0.565 0.230 0.243
F2 0.232 0.960 0.244
F3 0.961 0.563 0.246
F4 0.396 0.678 0.787
F5 0.677 0.141 0.785
F6 0.139 0.397 0.787

Entry 2:
First-principles (PBE-GGA) data for a relaxed K2ErAgF6 crystal, as listed in the Alexandria database.

a b c (Å): 6.306 6.530 8.790
angles (deg): 90.00 89.15 90.00
Site moments in Bohr magnetons follow the coordinates.
Sites, in units of the cell vectors:
K1 0.014 0.949 0.252  0.00
K2 0.514 0.551 0.752  0.00
K3 0.986 0.051 0.748  0.00
K4 0.486 0.449 0.248  0.00
Er1 0.500 0.000 0.500  0.00
Er2 0.000 0.500 0.000  0.00
Ag1 0.500 0.000 0.000  0.09
Ag2 0.000 0.500 0.500  0.09
F1 0.279 0.682 0.045  0.00
F2 0.779 0.818 0.545  0.00
F3 0.721 0.318 0.955  0.00
F4 0.221 0.182 0.455  0.00
F5 0.324 0.728 0.440  0.00
F6 0.824 0.772 0.940  0.00
F7 0.676 0.272 0.560  0.00
F8 0.176 0.228 0.060  0.00
F9 0.899 0.545 0.235  0.01
F10 0.399 0.955 0.735  0.01
F11 0.101 0.455 0.765  0.01
F12 0.601 0.045 0.265  0.01

Entry 3:
First-principles (PBE-GGA) data for a relaxed K3ErAg2F9 crystal, as listed in the Alexandria database.

a b c (Å): 6.336 6.336 7.933
angles (deg): 90.00 90.00 120.00
Site moments in Bohr magnetons follow the coordinates.
Sites, in units of the cell vectors:
K1 0.333 0.667 0.734  0.00
K2 0.000 0.000 0.000  0.00
K3 0.667 0.333 0.266  0.00
Er1 0.000 0.000 0.500  0.02
Ag1 0.333 0.667 0.172  0.34
Ag2 0.667 0.333 0.828  0.34
F1 0.844 0.156 0.664  0.02
F2 0.844 0.688 0.664  0.02
F3 0.312 0.156 0.664  0.02
F4 0.688 0.844 0.336  0.02
F5 0.156 0.312 0.336  0.02
F6 0.156 0.844 0.336  0.02
F7 0.500 0.000 0.000  0.10
F8 0.000 0.500 0.000  0.10
F9 0.500 0.500 0.000  0.10

Entry 4:
First-principles (PBE-GGA) data for a relaxed KEr2AgF8 crystal, as listed in the Alexandria database.

a b c (Å): 3.833 6.117 7.647
angles (deg): 90.04 90.00 89.99
Site moments in Bohr magnetons follow the coordinates.
Sites, in units of the cell vectors:
K1 0.000 0.000 0.500  0.00
Er1 0.500 0.500 0.751  0.00
Er2 0.500 0.500 0.249  0.00
Ag1 0.000 0.000 0.000  0.09
F1 0.000 0.705 0.246  0.00
F2 0.500 0.708 0.000  0.00
F3 0.000 0.294 0.245  0.00
F4 0.000 0.295 0.754  0.00
F5 0.500 0.292 0.000  0.00
F6 0.000 0.706 0.755  0.00
F7 0.500 0.703 0.500  0.00
F8 0.500 0.297 0.500  0.00

Q: Which ΔE_f (raw) values were calculated for the entries above? A: -2600.2; -2987.6; -2583.8; -3398.6, in meV per atom.